TmAl7Au3: relaxed, PBE.

Cell lengths 8.4381, 8.4381, 8.4381 Å; angles 57.17, 57.17, 57.17 degrees
Closest atoms and distances in Å follow each position.
Fractional positions:
Tm (0.0000, 0.0000, 0.0000)  6 Au 3.24, 12 Al 3.32-3.36
Tm (0.5000, 0.5000, 0.5000)  6 Au 3.24, 12 Al 3.32-3.36
Al (0.0703, 0.8526, 0.6667)  3 Au 2.59-2.67, 5 Al 2.83-2.89
Al (0.1474, 0.3333, 0.9297)  3 Au 2.59-2.67, 5 Al 2.83-2.89
Al (0.1667, 0.3526, 0.5703)  3 Au 2.59-2.67, 5 Al 2.83-2.89
Al (0.2500, 0.2500, 0.2500)  3 Au 2.62, 6 Al 2.89
Al (0.3333, 0.9297, 0.1474)  3 Au 2.59-2.67, 5 Al 2.83-2.89
Al (0.3526, 0.5703, 0.1667)  3 Au 2.59-2.67, 5 Al 2.83-2.89
Al (0.4297, 0.8333, 0.6474)  3 Au 2.59-2.67, 5 Al 2.83-2.89
Al (0.5703, 0.1667, 0.3526)  3 Au 2.59-2.67, 5 Al 2.83-2.89
Al (0.6474, 0.4297, 0.8333)  3 Au 2.59-2.67, 5 Al 2.83-2.89
Al (0.6667, 0.0703, 0.8526)  3 Au 2.59-2.67, 5 Al 2.83-2.89
Al (0.7500, 0.7500, 0.7500)  3 Au 2.62, 6 Al 2.89
Al (0.8333, 0.6474, 0.4297)  3 Au 2.59-2.67, 5 Al 2.83-2.89
Al (0.8526, 0.6667, 0.0703)  3 Au 2.59-2.67, 5 Al 2.83-2.89
Al (0.9297, 0.1474, 0.3333)  3 Au 2.59-2.67, 5 Al 2.83-2.89
Au (0.0747, 0.7500, 0.4253)  7 Al 2.59-2.67
Au (0.2500, 0.5747, 0.9253)  7 Al 2.59-2.67
Au (0.4253, 0.0747, 0.7500)  7 Al 2.59-2.67
Au (0.5747, 0.9253, 0.2500)  7 Al 2.59-2.67
Au (0.7500, 0.4253, 0.0747)  7 Al 2.59-2.67
Au (0.9253, 0.2500, 0.5747)  7 Al 2.59-2.67

Output
Energy of formation from the pure elements = -0.499 eV/atom

NaGa2Au: relaxed, PBE.

Cell lengths 9.1302, 9.1302, 9.1302 Å; angles 24.28, 24.28, 24.28 degrees
Closest atoms and distances in Å follow each position.
Fractional positions:
Na (0.0000, 0.0000, 0.0000)  2 Ga 2.98
Ga (0.1123, 0.1123, 0.1123)  3 Au 2.65
Ga (0.8877, 0.8877, 0.8877)  3 Au 2.65
Au (0.5000, 0.5000, 0.5000)  6 Ga 2.65

Output
Energy of formation from the pure elements = 0.018 eV/atom

TiInPbF6: relaxed, PBE.

Cell lengths 4.9742, 5.9790, 6.0693 Å; angles 61.10, 89.51, 89.44 degrees
Closest atoms and distances in Å follow each position.
Fractional positions:
Ti (0.0000, 0.0000, 0.0000)  6 F 1.93-2.05
In (0.5777, 0.3442, 0.3231)  5 F 2.57-2.87
Pb (0.1184, 0.6605, 0.6639)  5 F 2.38-2.60
F (0.2118, 0.6777, 0.0769)  1 Ti 2.03
F (0.2160, 0.2370, 0.6920)  1 Ti 2.02
F (0.2261, 0.0741, 0.2133)  1 Ti 1.93
F (0.7933, 0.8997, 0.7920)  1 Ti 1.94
F (0.7983, 0.7814, 0.3314)  1 Ti 2.05
F (0.7990, 0.3354, 0.8977)  1 Ti 2.04

Output
ΔE_f (raw) = -2606.3 meV/atom

MgMnMo2: relaxed, PBE.

Cell lengths 2.6767, 4.4292, 5.2983 Å; angles 90.00, 98.37, 90.00 degrees
Closest atoms and distances in Å follow each position.
Fractional positions:
Mg (0.0000, 0.0000, 0.0000)  2 Mg 2.68, 2 Mn 2.70, 4 Mo 2.78-2.81
Mn (0.7749, 0.5000, 0.2522)  2 Mn 2.68, 2 Mg 2.70, 4 Mo 2.72-2.84
Mo (0.3063, 0.5000, 0.7352)  4 Mo 2.64-2.68, 2 Mn 2.74-2.84, 2 Mg 2.81
Mo (0.5036, 0.0000, 0.4964)  4 Mo 2.64-2.68, 2 Mn 2.72, 2 Mg 2.78-2.80

Output
Energy of formation from the pure elements = 0.268 eV/atom

Number 1: magnetic moment 0.00 μB/f.u., ρ 7.9 g/cm³. Number 2: magnetic moment 0.00 μB/f.u., ρ 5.3 g/cm³. Number 3: magnetic moment 1.00 μB/f.u., ρ 5.1 g/cm³. Number 4: magnetic moment 2.45 μB/f.u., ρ 7.2 g/cm³.